Below is a geometry-optimized Na2CoPtF structure, with properties calculated at the GGA+U level.

Unit cell a=5.4638 b=3.6144 c=5.4638 alpha=90.00 beta=90.00 gamma=90.00
Last column: magnetic moment on the atom in μB.
Fractional positions:
F 0.0000 0.5000 0.0000  0.07
Na 0.5000 0.0000 0.0000  0.00
Na 0.0000 0.0000 0.5000  0.00
Pt 0.5000 0.5000 0.5000  -0.02
Co 0.0000 0.0000 0.0000  2.07

Computed properties:
* raw total energy: -3.217 eV/atom
* crystal system: tetragonal
* mass density: 4.91 g/cm³
* symmetry: P4/mmm, No. 123

Below is a geometry-optimized Na2PuCoF8 structure, with properties calculated at the GGA+U level.

Unit cell a=5.0129 b=5.2783 c=6.8722 alpha=90.00 beta=90.00 gamma=92.70
Last column: magnetic moment on the atom in μB.
Fractional positions:
F 0.1891 0.8190 0.2538  0.00
F 0.8109 0.1810 0.2537  0.00
F 0.8109 0.1810 0.7462  0.00
F 0.6964 0.7032 0.5000  -0.03
F 0.1891 0.8190 0.7463  0.00
F 0.7300 0.7304 0.0000  0.04
F 0.2700 0.2696 0.0000  0.04
F 0.3036 0.2968 0.5000  -0.03
Co 0.0000 0.0000 0.0000  2.77
Na 0.5000 0.5000 0.2263  0.00
Na 0.5000 0.5000 0.7737  0.00
Pu 0.0000 0.0000 0.5000  4.13

Computed properties:
* raw total energy: -5.975 eV/atom
* crystal system: monoclinic
* mass density: 4.58 g/cm³
* symmetry: P2/m, No. 10

Below is a geometry-optimized Rb3Na3CoF8 structure, with properties calculated at the GGA+U level.

Unit cell a=6.9880 b=6.9950 c=7.4982 alpha=117.91 beta=90.00 gamma=119.97
Last column: magnetic moment on the atom in μB.
Fractional positions:
F 0.2065 0.9745 0.6817  0.03
F 0.2669 0.5339 0.3005  0.00
F 0.2057 0.4114 0.6803  0.03
F 0.2320 0.0255 0.3183  0.03
F 0.7680 0.9745 0.6817  0.03
F 0.7943 0.5886 0.3197  0.03
F 0.7935 0.0255 0.3183  0.03
F 0.7331 0.4661 0.6995  0.00
Rb 0.0000 0.0000 0.0000  0.00
Rb 0.5000 0.5000 0.0000  0.00
Rb 0.0000 0.5000 0.0000  0.00
Na 0.5000 0.5000 0.5000  0.00
Na 0.0000 0.5000 0.5000  0.00
Na 0.5000 0.0000 0.5000  0.00
Co 0.0000 0.0000 0.5000  2.78

Computed properties:
* raw total energy: -4.355 eV/atom
* crystal system: monoclinic
* mass density: 3.33 g/cm³
* symmetry: C2/m, No. 12

Below is a geometry-optimized Rb3NaCo2F8 structure, with properties calculated at the GGA+U level.

Unit cell a=6.1531 b=6.1531 c=7.9473 alpha=90.00 beta=90.00 gamma=120.00
Last column: magnetic moment on the atom in μB.
Fractional positions:
F 0.8305 0.1695 0.6826  0.05
F 0.6610 0.8305 0.3174  0.05
F 0.8305 0.6610 0.6826  0.05
F 0.1695 0.8305 0.3174  0.05
F 0.6667 0.3333 0.0280  0.05
F 0.3390 0.1695 0.6826  0.05
F 0.3333 0.6667 0.9720  0.05
F 0.1695 0.3390 0.3174  0.05
Rb 0.0000 0.0000 0.0000  0.00
Rb 0.6667 0.3333 0.3599  0.00
Rb 0.3333 0.6667 0.6401  0.00
Co 0.6667 0.3333 0.7904  2.73
Co 0.3333 0.6667 0.2096  2.73
Na 0.0000 0.0000 0.5000  0.00

Computed properties:
* raw total energy: -4.569 eV/atom
* crystal system: trigonal
* mass density: 3.50 g/cm³
* symmetry: P-3m1, No. 164

Below is a geometry-optimized Rb2NaCo3F12 structure, with properties calculated at the GGA+U level.

Unit cell a=7.1915 b=7.1915 c=7.1915 alpha=62.33 beta=62.33 gamma=62.33
Last column: magnetic moment on the atom in μB.
Fractional positions:
Rb 0.6181 0.6181 0.6181  0.00
Rb 0.3819 0.3819 0.3819  0.00
F 0.1028 0.6109 0.1028  -0.03
F 0.3891 0.8972 0.8972  -0.03
F 0.7037 0.7037 0.0897  0.01
F 0.2963 0.9103 0.2963  0.01
F 0.0897 0.7037 0.7037  0.01
F 0.2963 0.2963 0.9103  0.01
F 0.1028 0.1028 0.6109  -0.03
F 0.7037 0.0897 0.7037  0.01
F 0.8972 0.3891 0.8972  -0.03
F 0.6109 0.1028 0.1028  -0.03
F 0.9103 0.2963 0.2963  0.01
F 0.8972 0.8972 0.3891  -0.03
Na 0.0000 0.0000 0.0000  0.00
Co 0.5000 0.0000 0.0000  2.01
Co 0.0000 0.0000 0.5000  2.01
Co 0.0000 0.5000 0.0000  2.01

Computed properties:
* raw total energy: -4.483 eV/atom
* crystal system: trigonal
* mass density: 3.59 g/cm³
* symmetry: R-3m, No. 166

Below is a geometry-optimized RbNaCoF6 structure, with properties calculated at the GGA+U level.

Unit cell a=5.7215 b=5.6623 c=5.6623 alpha=120.00 beta=90.00 gamma=90.00
Last column: magnetic moment on the atom in μB.
Fractional positions:
F 0.6806 0.2670 0.0072  0.00
F 0.3194 0.7402 0.0072  0.00
F 0.6806 0.7402 0.7330  0.00
F 0.6806 0.9928 0.2598  0.00
F 0.3194 0.9928 0.7330  0.00
F 0.3194 0.2670 0.2598  0.00
Rb 0.0000 0.3333 0.6667  0.00
Co 0.5000 0.0000 0.0000  1.00
Na 0.5000 0.6667 0.3333  0.00

Computed properties:
* raw total energy: -4.299 eV/atom
* crystal system: trigonal
* mass density: 2.94 g/cm³
* symmetry: P312, No. 149

Below is a geometry-optimized RbNa2CoF6 structure, with properties calculated at the GGA+U level.

Unit cell a=5.9811 b=5.9117 c=8.6361 alpha=90.00 beta=90.72 gamma=90.00
Last column: magnetic moment on the atom in μB.
Fractional positions:
F 0.7397 0.3691 0.8920  -0.08
F 0.7604 0.8693 0.6079  -0.08
F 0.1656 0.4411 0.8062  -0.09
F 0.2396 0.1307 0.3921  -0.08
F 0.6655 0.0589 0.3062  -0.09
F 0.0897 0.2085 0.0622  -0.14
F 0.3345 0.9411 0.6938  -0.09
F 0.9103 0.7915 0.9378  -0.14
F 0.5897 0.2916 0.5621  -0.14
F 0.8344 0.5589 0.1938  -0.09
F 0.2603 0.6309 0.1080  -0.08
F 0.4103 0.7084 0.4379  -0.14
Na 0.5056 0.5733 0.7278  0.00
Na 0.4944 0.4267 0.2722  0.00
Na 0.9945 0.0732 0.7722  0.00
Na 0.0055 0.9268 0.2278  0.00
Rb 0.5000 0.0000 0.0000  0.00
Rb 0.0000 0.5000 0.5000  0.00
Co 0.0000 0.5000 0.0000  -3.24
Co 0.5000 0.0000 0.5000  -3.24

Computed properties:
* crystal system: monoclinic
* mass density: 3.31 g/cm³
* symmetry: P2_1/c, No. 14
* excess energy over the best structure of this formula in the dataset: 0 meV/atom

Below is a geometry-optimized RbNa2CoF6 structure, with properties calculated at the GGA+U level.

Unit cell a=6.2391 b=6.2391 c=6.2391 alpha=60.00 beta=60.00 gamma=60.00
Last column: magnetic moment on the atom in μB.
Fractional positions:
F 0.7894 0.2106 0.2106  0.00
F 0.2106 0.7894 0.7894  0.00
F 0.2106 0.7894 0.2106  0.00
F 0.7894 0.7894 0.2106  0.00
F 0.2106 0.2106 0.7894  0.00
F 0.7894 0.2106 0.7894  0.00
Rb 0.5000 0.5000 0.5000  0.00
Na 0.2500 0.2500 0.2500  0.00
Na 0.7500 0.7500 0.7500  0.00
Co 0.0000 0.0000 0.0000  0.10

Computed properties:
* crystal system: cubic
* mass density: 2.94 g/cm³
* symmetry: Fm-3m, No. 225
* excess energy over the best structure of this formula in the dataset: 214 meV/atom

Below is a geometry-optimized Rb3Na2CoF9 structure, with properties calculated at the GGA+U level.

Unit cell a=6.0662 b=6.0662 c=7.5483 alpha=90.00 beta=90.00 gamma=120.00
Last column: magnetic moment on the atom in μB.
Fractional positions:
F 0.8559 0.7118 0.6399  0.01
F 0.0000 0.5000 0.0000  0.15
F 0.8559 0.1441 0.6399  0.01
F 0.7118 0.8559 0.3601  0.01
F 0.1441 0.2882 0.3601  0.01
F 0.2882 0.1441 0.6399  0.01
F 0.5000 0.5000 0.0000  0.15
F 0.5000 0.0000 0.0000  0.15
F 0.1441 0.8559 0.3601  0.01
Rb 0.0000 0.0000 0.0000  0.00
Rb 0.6667 0.3333 0.3058  0.00
Rb 0.3333 0.6667 0.6942  0.00
Na 0.3333 0.6667 0.1821  0.00
Na 0.6667 0.3333 0.8179  0.00
Co 0.0000 0.0000 0.5000  0.40

Computed properties:
* raw total energy: -4.233 eV/atom
* crystal system: trigonal
* mass density: 3.67 g/cm³
* symmetry: P-3m1, No. 164

Below is a geometry-optimized NaCoRuF6 structure, with properties calculated at the GGA+U level.

Unit cell a=7.3889 b=7.2760 c=7.3693 alpha=119.58 beta=120.09 gamma=90.00
Last column: magnetic moment on the atom in μB.
Fractional positions:
Ru 0.5000 0.0000 0.0000  -0.81
Ru 0.5000 0.5000 0.0000  -0.81
Co 0.5000 0.0000 0.5000  2.77
Co 0.0000 0.0000 0.5000  2.77
F 0.5714 0.3401 0.7440  0.00
F 0.8163 0.0663 0.6327  0.06
F 0.4148 0.6648 0.8296  -0.01
F 0.8274 0.6599 0.2560  0.00
F 0.1837 0.9337 0.3673  0.06
F 0.4286 0.6599 0.2560  0.00
F 0.5852 0.3352 0.1704  -0.01
F 0.1726 0.3401 0.7440  0.00
F 0.1726 0.9040 0.7440  0.00
F 0.4286 0.0960 0.2560  0.00
F 0.5714 0.9040 0.7440  0.00
F 0.8274 0.0960 0.2560  0.00
Na 0.8138 0.5638 0.6275  0.00
Na 0.1862 0.4362 0.3725  0.00

Computed properties:
* raw total energy: -4.926 eV/atom
* crystal system: orthorhombic
* mass density: 3.50 g/cm³
* symmetry: Imma, No. 74

Below is a geometry-optimized NaScCo2F8 structure, with properties calculated at the GGA+U level.

Unit cell a=4.8735 b=4.8660 c=6.4843 alpha=91.36 beta=91.30 gamma=89.17
Last column: magnetic moment on the atom in μB.
Fractional positions:
Sc 0.0000 0.0000 0.0000  -0.01
F 0.6967 0.6994 0.9908  -0.01
F 0.2062 0.7959 0.2245  0.00
F 0.7988 0.2090 0.2248  -0.01
F 0.3214 0.3190 0.5073  -0.02
F 0.6786 0.6810 0.4927  -0.02
F 0.2012 0.7910 0.7752  -0.01
F 0.7938 0.2041 0.7755  0.00
F 0.3033 0.3006 0.0092  -0.01
Na 0.0000 0.0000 0.5000  0.00
Co 0.4944 0.4944 0.2562  -0.94
Co 0.5056 0.5056 0.7438  -0.94

Computed properties:
* raw total energy: -5.400 eV/atom
* crystal system: triclinic
* mass density: 3.65 g/cm³
* symmetry: P-1, No. 2

Below is a geometry-optimized NaScCoF6 structure, with properties calculated at the GGA+U level.

Unit cell a=5.4457 b=5.4457 c=9.7864 alpha=90.00 beta=90.00 gamma=120.00
Last column: magnetic moment on the atom in μB.
Fractional positions:
F 0.6434 0.0034 0.8601  0.03
F 0.0034 0.6434 0.3601  0.03
F 0.6400 0.6434 0.1399  0.03
F 0.9966 0.3566 0.6399  0.03
F 0.3566 0.3600 0.3601  0.03
F 0.3566 0.9966 0.1399  0.03
F 0.0034 0.3600 0.1399  0.03
F 0.9966 0.6400 0.8601  0.03
F 0.6400 0.9966 0.3601  0.03
F 0.6434 0.6400 0.6399  0.03
F 0.3600 0.3566 0.8601  0.03
F 0.3600 0.0034 0.6399  0.03
Co 0.3333 0.6667 0.7500  2.78
Co 0.6667 0.3333 0.2500  2.78
Na 0.0000 0.0000 0.5000  0.00
Na 0.0000 0.0000 0.0000  0.00
Sc 0.3333 0.6667 0.2500  0.00
Sc 0.6667 0.3333 0.7500  0.00

Computed properties:
* raw total energy: -5.749 eV/atom
* crystal system: trigonal
* mass density: 3.18 g/cm³
* symmetry: P-31c, No. 163